one.
# Ir5Os4, optimized geometry, DFT PBE
data_Ir5Os4
_chemical_formula_sum 'Ir10 Os8'
_cell_length_a 8.2036
_cell_length_b 8.2036
_cell_length_c 3.8602
_cell_angle_alpha 90.00
_cell_angle_beta 90.00
_cell_angle_gamma 90.00
_space_group_name_H-M_alt 'I 4/m m m'
_space_group_IT_number 139
_space_group_name_Hall '-I 4 2'
loop_
_atom_site_label
_atom_site_fract_x
_atom_site_fract_y
_atom_site_fract_z
Ir1 0.0000 0.0000 0.0000
Ir2 0.1685 0.1685 0.5000
Os1 0.0000 0.3384 0.0000
# D(E_F) = 14.56 states/eV/cell

---

two.
# Ir5Os4, optimized geometry, DFT PBE
data_Ir5Os4
_chemical_formula_sum 'Ir10 Os8'
_cell_length_a 7.5446
_cell_length_b 7.5446
_cell_length_c 5.4244
_cell_angle_alpha 90.00
_cell_angle_beta 90.00
_cell_angle_gamma 120.00
_space_group_name_H-M_alt 'P 63/m c m'
_space_group_IT_number 193
_space_group_name_Hall '-P 6c 2'
loop_
_atom_site_label
_atom_site_fract_x
_atom_site_fract_y
_atom_site_fract_z
Ir1 0.0000 0.3305 0.2500
Ir2 0.3333 0.6667 0.0000
Os1 0.0000 0.0000 0.0000
Os2 0.0000 0.3325 0.7500
# D(E_F) = 24.05 states/eV/cell

---

It is one that is most stable; the runner-up trails by 33.9 kJ/mol of atoms.

---

one.
# Ir2Os, optimized geometry, DFT PBE
data_Ir2Os
_chemical_formula_sum 'Ir2 Os1'
_cell_length_a 4.3616
_cell_length_b 4.3616
_cell_length_c 2.6957
_cell_angle_alpha 90.00
_cell_angle_beta 90.00
_cell_angle_gamma 120.00
_space_group_name_H-M_alt 'P 6/m m m'
_space_group_IT_number 191
_space_group_name_Hall '-P 6 2'
loop_
_atom_site_label
_atom_site_fract_x
_atom_site_fract_y
_atom_site_fract_z
Ir1 0.3333 0.6667 0.0000
Os1 0.0000 0.0000 0.5000
# D(E_F) = 4.04 states/eV/cell

---

two.
# Ir2Os, optimized geometry, DFT PBE
data_Ir2Os
_chemical_formula_sum 'Ir8 Os4'
_cell_length_a 5.9763
_cell_length_b 5.9763
_cell_length_c 5.2522
_cell_angle_alpha 90.00
_cell_angle_beta 90.00
_cell_angle_gamma 90.00
_space_group_name_H-M_alt 'I 4/m c m'
_space_group_IT_number 140
_space_group_name_Hall '-I 4 2c'
loop_
_atom_site_label
_atom_site_fract_x
_atom_site_fract_y
_atom_site_fract_z
Ir1 0.1439 0.3561 0.0000
Os1 0.0000 0.0000 0.2500
# D(E_F) = 11.68 states/eV/cell

---

three.
# Ir2Os, optimized geometry, DFT PBE
data_Ir2Os
_chemical_formula_sum 'Ir8 Os4'
_cell_length_a 5.4556
_cell_length_b 3.8564
_cell_length_c 8.2471
_cell_angle_alpha 90.00
_cell_angle_beta 90.00
_cell_angle_gamma 90.00
_space_group_name_H-M_alt 'P n m a'
_space_group_IT_number 62
loop_
_space_group_symop_operation_xyz
'x,y,z'
'-x,-y,-z'
'-x+1/2,-y,z+1/2'
'x+1/2,y,-z+1/2'
'x+1/2,-y+1/2,-z+1/2'
'-x+1/2,y+1/2,z+1/2'
'-x,y+1/2,-z'
'x,-y+1/2,z'
loop_
_atom_site_label
_atom_site_fract_x
_atom_site_fract_y
_atom_site_fract_z
Ir1 0.1247 0.2500 0.2449
Ir2 0.1262 0.2500 0.5833
Os1 0.1209 0.2500 0.9220
# D(E_F) = 8.31 states/eV/cell

---

It is three that is most stable; the runner-up trails by 30.3 kJ/mol of atoms.

---

one.
# Ir2Os, optimized geometry, DFT PBE
data_Ir2Os
_chemical_formula_sum 'Ir8 Os4'
_cell_length_a 2.7008
_cell_length_b 3.8729
_cell_length_c 18.2618
_cell_angle_alpha 90.00
_cell_angle_beta 90.00
_cell_angle_gamma 90.00
_space_group_name_H-M_alt 'I m m a'
_space_group_IT_number 74
_space_group_name_Hall '-I 2b 2'
loop_
_atom_site_label
_atom_site_fract_x
_atom_site_fract_y
_atom_site_fract_z
Ir1 0.0000 0.2500 0.0481
Ir2 0.0000 0.2500 0.1904
Os1 0.0000 0.2500 0.6143
# D(E_F) = 8.78 states/eV/cell

---

two.
# Ir2Os, optimized geometry, DFT PBE
data_Ir2Os
_chemical_formula_sum 'Ir16 Os8'
_cell_length_a 3.8639
_cell_length_b 3.8639
_cell_length_c 23.2367
_cell_angle_alpha 90.00
_cell_angle_beta 90.00
_cell_angle_gamma 90.00
_space_group_name_H-M_alt 'I 41/a m d'
_space_group_IT_number 141
loop_
_space_group_symop_operation_xyz
'x,y,z'
'-x,-y,-z'
'-y+1/4,x+3/4,z+1/4'
'y+1/4,-x+3/4,-z+1/4'
'-x+1/2,-y,z+1/2'
'x+1/2,y,-z+1/2'
'y+1/4,-x+1/4,z+3/4'
'-y+1/4,x+1/4,-z+3/4'
'x,-y,-z'
'-x,y,z'
'-y+1/4,-x+1/4,-z+3/4'
'y+1/4,x+1/4,z+3/4'
'-x+1/2,y,-z+1/2'
'x+1/2,-y,z+1/2'
'y+1/4,x+3/4,-z+1/4'
'-y+1/4,-x+3/4,z+1/4'
'x+1/2,y+1/2,z+1/2'
'-x+1/2,-y+1/2,-z+1/2'
'-y+3/4,x+1/4,z+3/4'
'y+3/4,-x+1/4,-z+3/4'
'-x,-y+1/2,z'
'x,y+1/2,-z'
'y+3/4,-x+3/4,z+1/4'
'-y+3/4,x+3/4,-z+1/4'
'x+1/2,-y+1/2,-z+1/2'
'-x+1/2,y+1/2,z+1/2'
'-y+3/4,-x+3/4,-z+1/4'
'y+3/4,x+3/4,z+1/4'
'-x,y+1/2,-z'
'x,-y+1/2,z'
'y+3/4,x+1/4,-z+3/4'
'-y+3/4,-x+1/4,z+3/4'
loop_
_atom_site_label
_atom_site_fract_x
_atom_site_fract_y
_atom_site_fract_z
Ir1 0.0000 0.2500 0.1233
Ir2 0.0000 0.2500 0.7913
Os1 0.0000 0.2500 0.2899
# D(E_F) = 20.50 states/eV/cell

---

three.
# Ir2Os, optimized geometry, DFT PBE
data_Ir2Os
_chemical_formula_sum 'Ir4 Os2'
_cell_length_a 3.3314
_cell_length_b 3.3314
_cell_length_c 8.0891
_cell_angle_alpha 90.00
_cell_angle_beta 90.00
_cell_angle_gamma 90.00
_space_group_name_H-M_alt 'I 4/m m m'
_space_group_IT_number 139
_space_group_name_Hall '-I 4 2'
loop_
_atom_site_label
_atom_site_fract_x
_atom_site_fract_y
_atom_site_fract_z
Ir1 0.0000 0.0000 0.1669
Os1 0.0000 0.0000 0.5000
# D(E_F) = 6.27 states/eV/cell

---

four.
# Ir2Os, optimized geometry, DFT PBE
data_Ir2Os
_chemical_formula_sum 'Ir6 Os3'
_cell_length_a 7.4559
_cell_length_b 7.4559
_cell_length_c 2.7399
_cell_angle_alpha 90.00
_cell_angle_beta 90.00
_cell_angle_gamma 120.00
_space_group_name_H-M_alt 'P -6 2 m'
_space_group_IT_number 189
_space_group_name_Hall 'P -6 -2'
loop_
_atom_site_label
_atom_site_fract_x
_atom_site_fract_y
_atom_site_fract_z
Ir1 0.0000 0.2980 0.0000
Ir2 0.0000 0.6333 0.5000
Os1 0.0000 0.0000 0.5000
Os2 0.3333 0.6667 0.0000
# D(E_F) = 7.66 states/eV/cell

---

It is two that is most stable; the runner-up trails by 9.4 kJ/mol of atoms.